Record 1
# Nd4InOs (PBE-GGA, optimized geometry)
# N(E_F) = 76.81 states/eV per cell
# Offset from the most stable computed form = 0 meV/atom
data_Nd4InOs
_chemical_formula_sum 'Nd64 In16 Os16'
_cell_length_a 14.081
_cell_length_b 14.081
_cell_length_c 14.081
_cell_angle_alpha 90.00
_cell_angle_beta 90.00
_cell_angle_gamma 90.00
_space_group_name_H-M_alt 'F -4 3 m'
_space_group_IT_number 216
_space_group_name_Hall 'F -4 2 3'
loop_
_atom_site_label
_atom_site_type_symbol
_atom_site_fract_x
_atom_site_fract_y
_atom_site_fract_z
Nd1 Nd 0.000 0.000 0.192
Nd2 Nd 0.057 0.250 0.250
Nd3 Nd 0.096 0.096 0.596
In1 In 0.169 0.169 0.831
Os1 Os 0.112 0.112 0.388

---

Record 2
# Nd3InOs (PBE-GGA, optimized geometry)
# N(E_F) = 28.55 states/eV per cell
# Offset from the most stable computed form = 0 meV/atom
data_Nd3InOs
_chemical_formula_sum 'Nd24 In8 Os8'
_cell_length_a 6.780
_cell_length_b 10.006
_cell_length_c 16.485
_cell_angle_alpha 90.00
_cell_angle_beta 90.00
_cell_angle_gamma 90.00
_space_group_name_H-M_alt 'F m m m'
_space_group_IT_number 69
_space_group_name_Hall '-F 2 2'
loop_
_atom_site_label
_atom_site_type_symbol
_atom_site_fract_x
_atom_site_fract_y
_atom_site_fract_z
Nd1 Nd 0.000 0.000 0.201
Nd2 Nd 0.000 0.195 0.391
In1 In 0.205 0.000 0.000
Os1 Os 0.250 0.250 0.250

---

Record 3
# Nd8InOs2 (PBE-GGA, optimized geometry)
# N(E_F) = 23.04 states/eV per cell
# E_tot = -5.856 eV/atom
data_Nd8InOs2
_chemical_formula_sum 'Nd16 In2 Os4'
_cell_length_a 9.100
_cell_length_b 13.537
_cell_length_c 5.605
_cell_angle_alpha 90.00
_cell_angle_beta 102.77
_cell_angle_gamma 90.00
_space_group_name_H-M_alt 'C 1 m 1'
_space_group_IT_number 8
_space_group_name_Hall 'C -2y'
loop_
_atom_site_label
_atom_site_type_symbol
_atom_site_fract_x
_atom_site_fract_y
_atom_site_fract_z
Nd1 Nd 0.000 0.000 0.000
Nd2 Nd 0.079 0.369 0.772
Nd3 Nd 0.192 0.131 0.635
Nd4 Nd 0.269 0.500 0.406
Nd5 Nd 0.386 0.252 0.203
In1 In 0.385 0.000 0.204
Os1 Os 0.385 0.313 0.703

---

Record 4
# Nd8In2Os (PBE-GGA, optimized geometry)
# N(E_F) = 21.78 states/eV per cell
# E_tot = -5.188 eV/atom
data_Nd8In2Os
_chemical_formula_sum 'Nd16 In4 Os2'
_cell_length_a 17.918
_cell_length_b 5.613
_cell_length_c 7.179
_cell_angle_alpha 90.00
_cell_angle_beta 111.79
_cell_angle_gamma 90.00
_space_group_name_H-M_alt 'C 1 2/m 1'
_space_group_IT_number 12
_space_group_name_Hall '-C 2y'
loop_
_atom_site_label
_atom_site_type_symbol
_atom_site_fract_x
_atom_site_fract_y
_atom_site_fract_z
Nd1 Nd 0.006 0.000 0.269
Nd2 Nd 0.108 0.500 0.902
Nd3 Nd 0.140 0.500 0.406
Nd4 Nd 0.199 0.000 0.741
In1 In 0.183 0.000 0.189
Os1 Os 0.000 0.500 0.500

---

Record 5
# Nd4InOs (PBE-GGA, optimized geometry)
# N(E_F) = 26.35 states/eV per cell
# Offset from the most stable computed form = 24 meV/atom
data_Nd4InOs
_chemical_formula_sum 'Nd16 In4 Os4'
_cell_length_a 8.952
_cell_length_b 13.678
_cell_length_c 6.293
_cell_angle_alpha 90.00
_cell_angle_beta 108.33
_cell_angle_gamma 90.00
_space_group_name_H-M_alt 'C 1 2/c 1'
_space_group_IT_number 15
_space_group_name_Hall '-C 2yc'
loop_
_atom_site_label
_atom_site_type_symbol
_atom_site_fract_x
_atom_site_fract_y
_atom_site_fract_z
Nd1 Nd 0.110 0.169 0.051
Nd2 Nd 0.220 0.425 0.385
In1 In 0.000 0.377 0.750
Os1 Os 0.000 0.000 0.250

---

Record 6
# NdYInOs (PBE-GGA, optimized geometry)
# N(E_F) = 9.15 states/eV per cell
# E_tot = -6.453 eV/atom
data_NdYInOs
_chemical_formula_sum 'Nd4 Y4 In4 Os4'
_cell_length_a 7.262
_cell_length_b 7.262
_cell_length_c 7.262
_cell_angle_alpha 90.00
_cell_angle_beta 90.00
_cell_angle_gamma 90.00
_space_group_name_H-M_alt 'F -4 3 m'
_space_group_IT_number 216
_space_group_name_Hall 'F -4 2 3'
loop_
_atom_site_label
_atom_site_type_symbol
_atom_site_fract_x
_atom_site_fract_y
_atom_site_fract_z
Nd1 Nd 0.000 0.000 0.000
Y1 Y 0.000 0.000 0.500
In1 In 0.250 0.250 0.750
Os1 Os 0.250 0.250 0.250

---

Record 7
# Nd3InP (PBE-GGA, optimized geometry)
# N(E_F) = 2.69 states/eV per cell
# Offset from the most stable computed form = 77 meV/atom
data_Nd3InP
_chemical_formula_sum 'Nd3 In1 P1'
_cell_length_a 5.473
_cell_length_b 5.473
_cell_length_c 5.473
_cell_angle_alpha 90.00
_cell_angle_beta 90.00
_cell_angle_gamma 90.00
_space_group_name_H-M_alt 'P m -3 m'
_space_group_IT_number 221
_space_group_name_Hall '-P 4 2 3'
loop_
_atom_site_label
_atom_site_type_symbol
_atom_site_fract_x
_atom_site_fract_y
_atom_site_fract_z
Nd1 Nd 0.000 0.000 0.500
In1 In 0.500 0.500 0.500
P1 P 0.000 0.000 0.000

---

Record 8
# Nd4In2P (PBE-GGA, optimized geometry)
# N(E_F) = 16.36 states/eV per cell
# E_tot = -4.969 eV/atom
data_Nd4In2P
_chemical_formula_sum 'Nd8 In4 P2'
_cell_length_a 12.856
_cell_length_b 4.223
_cell_length_c 9.284
_cell_angle_alpha 90.00
_cell_angle_beta 122.38
_cell_angle_gamma 90.00
_space_group_name_H-M_alt 'C 1 2/m 1'
_space_group_IT_number 12
_space_group_name_Hall '-C 2y'
loop_
_atom_site_label
_atom_site_type_symbol
_atom_site_fract_x
_atom_site_fract_y
_atom_site_fract_z
Nd1 Nd 0.090 0.000 0.353
Nd2 Nd 0.166 0.500 0.067
In1 In 0.127 0.500 0.661
P1 P 0.000 0.000 0.000